No. 1
Below is a geometry-optimized CsTlIn2 structure, with properties calculated at the GGA-PBE level.

CIF file:
```
data_CsTlIn2
_cell_length_a 5.205
_cell_length_b 7.541
_cell_length_c 8.283
_cell_angle_alpha 98.28
_cell_angle_beta 90.00
_cell_angle_gamma 110.19
_space_group_name_H-M_alt 'P 1'
_space_group_IT_number 1
_space_group_name_Hall 'P 1'
loop_
_atom_site_label
_atom_site_fract_x
_atom_site_fract_y
_atom_site_fract_z
In1 0.776 0.553 0.473
In2 0.631 0.262 0.728
In3 0.089 0.179 0.981
In4 0.721 0.443 0.094
Cs1 0.353 0.705 0.809
Cs2 0.450 0.899 0.273
Tl1 0.170 0.340 0.353
Tl2 0.013 0.026 0.607
```

E_tot = -2.24 eV/atom



No. 2
Below is a geometry-optimized Cs3Tl5In2 structure, with properties calculated at the GGA-PBE level.

CIF file:
```
data_Cs3Tl5In2
_cell_length_a 8.181
_cell_length_b 11.145
_cell_length_c 11.145
_cell_angle_alpha 67.09
_cell_angle_beta 68.47
_cell_angle_gamma 68.47
_space_group_name_H-M_alt 'P 1'
_space_group_IT_number 1
_space_group_name_Hall 'P 1'
loop_
_atom_site_label
_atom_site_fract_x
_atom_site_fract_y
_atom_site_fract_z
In1 0.334 0.026 0.307
In2 0.666 0.974 0.693
In3 0.166 0.693 0.974
In4 0.834 0.307 0.026
Tl1 0.250 0.500 0.500
Tl2 0.996 0.254 0.254
Tl3 0.004 0.746 0.746
Tl4 0.625 0.252 0.497
Tl5 0.496 0.254 0.254
Tl6 0.375 0.748 0.503
Tl7 0.125 0.497 0.252
Tl8 0.750 0.500 0.500
Tl9 0.875 0.503 0.748
Tl10 0.504 0.746 0.746
Cs1 0.879 0.859 0.383
Cs2 0.121 0.141 0.617
Cs3 0.750 0.000 0.000
Cs4 0.621 0.617 0.141
Cs5 0.250 0.000 0.000
Cs6 0.379 0.383 0.859
```

E_tot = -2.00 eV/atom



No. 3
Below is a geometry-optimized CsTl5In2 structure, with properties calculated at the GGA-PBE level.

CIF file:
```
data_CsTl5In2
_cell_length_a 4.834
_cell_length_b 8.242
_cell_length_c 8.242
_cell_angle_alpha 65.88
_cell_angle_beta 72.95
_cell_angle_gamma 72.95
_space_group_name_H-M_alt 'P 1'
_space_group_IT_number 1
_space_group_name_Hall 'P 1'
loop_
_atom_site_label
_atom_site_fract_x
_atom_site_fract_y
_atom_site_fract_z
Cs1 0.000 0.000 0.000
In1 0.242 0.258 0.258
In2 0.758 0.742 0.742
Tl1 0.638 0.167 0.557
Tl2 0.362 0.443 0.833
Tl3 0.000 0.500 0.500
Tl4 0.362 0.833 0.443
Tl5 0.638 0.557 0.167
```

E_tot = -2.31 eV/atom



No. 4
Below is a geometry-optimized CsTl2In structure, with properties calculated at the GGA-PBE level.

CIF file:
```
data_CsTl2In
_cell_length_a 4.002
_cell_length_b 4.002
_cell_length_c 9.089
_cell_angle_alpha 90.00
_cell_angle_beta 90.00
_cell_angle_gamma 90.00
_space_group_name_H-M_alt 'P 1'
_space_group_IT_number 1
_space_group_name_Hall 'P 1'
loop_
_atom_site_label
_atom_site_fract_x
_atom_site_fract_y
_atom_site_fract_z
Tl1 0.000 0.000 0.811
Tl2 0.000 0.000 0.189
Cs1 0.500 0.500 0.500
In1 0.500 0.500 0.000
```

E_tot = -2.15 eV/atom



| no. | E above lowest polymorph (eV per atom) | total magnetic moment (μB/cell) |
| --- | --- | --- |
| 1 | 0.000 | 0.0 |
| 2 | 0.055 | 0.0 |
| 3 | 0.000 | 0.0 |
| 4 | 0.036 | 0.0 |